No. 1
VASP calculation (PBE) on a relaxed NdIn5Cu crystal.

Geometry as POSCAR:
```
NdIn5Cu
1.0
4.7416 0.0000 0.0000
0.0000 4.7416 0.0000
0.0000 0.0000 7.6587
Nd In Cu
1 5 1
direct
0.0000 0.0000 0.0000 Nd
0.0000 0.5000 0.3025 In
0.0000 0.5000 0.6975 In
0.5000 0.0000 0.3025 In
0.5000 0.0000 0.6975 In
0.5000 0.5000 0.0000 In
0.0000 0.0000 0.5000 Cu
```

DFT formation energy = -245 meV per atom
VASP energy = -3.468 eV per atom
space-group type = No. 123

***

No. 2
VASP calculation (PBE) on a relaxed Li2ReSi crystal.

Geometry as POSCAR:
```
Li2ReSi
1.0
3.4975 0.0000 0.0000
0.0000 3.4975 0.0000
0.0000 0.0000 4.3530
Li Re Si
2 1 1
direct
0.0000 0.5000 0.0000 Li
0.5000 0.0000 0.0000 Li
0.0000 0.0000 0.5000 Re
0.5000 0.5000 0.5000 Si
```

VASP energy = -5.342 eV per atom
ΔE_f (raw) = 0.083 eV/atom
space-group type = No. 123